Here is a relaxed structure of RbCrAg2Br6 from the Alexandria database. Energies are from GGA-PBE.

Summary:
Symmetry = R3 (146)

Cell lengths 7.2571, 7.2554, 7.8740 Å; angles 62.54, 62.52, 59.97 degrees
With the nearest neighbours (Å) after each atom.
Atoms (fractional coordinates):
Ag1 0.5243 0.5242 0.4270  6 Br 2.84-3.06
Ag2 0.9945 0.9950 0.0158  6 Br 2.85-2.98
Br1 0.3392 0.7118 0.7753  1 Cr 2.52
Br2 0.2755 0.9566 0.2208  1 Cr 2.58, 1 Ag 2.84
Br3 0.9568 0.5466 0.2212  1 Cr 2.58, 1 Ag 2.84
Br4 0.1741 0.3396 0.7750  1 Cr 2.52
Br5 0.7118 0.1742 0.7747  1 Cr 2.52
Br6 0.5469 0.2750 0.2210  1 Cr 2.58, 1 Ag 2.84
Cr1 0.3315 0.3314 0.0057  6 Br 2.52-2.58
Rb1 0.8070 0.8072 0.5786  6 Br 3.30-3.56


Here is a relaxed structure of RbCrAgBr6 from the Alexandria database. Energies are from GGA-PBE.

Summary:
Symmetry = P312 (149)

Cell lengths 7.5871, 6.9845, 6.9845 Å; angles 120.00, 90.00, 90.00 degrees
With the nearest neighbours (Å) after each atom.
Atoms (fractional coordinates):
Br1 0.3065 0.3032 0.2802  1 Cr 2.52, 1 Ag 2.79
Br2 0.6935 0.9771 0.2802  1 Cr 2.52, 1 Ag 2.79
Br3 0.3065 0.9771 0.6968  1 Cr 2.52, 1 Ag 2.79
Br4 0.6935 0.3032 0.0229  1 Cr 2.52, 1 Ag 2.79
Br5 0.3065 0.7198 0.0229  1 Cr 2.52, 1 Ag 2.79
Br6 0.6935 0.7198 0.6968  1 Cr 2.52, 1 Ag 2.79
Cr1 0.5000 0.0000 0.0000  6 Br 2.52
Rb1 0.0000 0.3333 0.6667  6 Br 3.49
Ag1 0.5000 0.6667 0.3333  6 Br 2.79


Here is a relaxed structure of CrAgSe2Br from the Alexandria database. Energies are from GGA-PBE.

Summary:
Symmetry = P4/mmm (123)
Polymorph energy (0 for the lowest one) = 0.0000 eV/atom

Cell lengths 4.8008, 4.8008, 5.3198 Å; angles 90.00, 90.00, 90.00 degrees
With the nearest neighbours (Å) after each atom.
Atoms (fractional coordinates):
Se1 0.0000 0.5000 0.0000  2 Cr 2.40
Se2 0.5000 0.0000 0.0000  2 Cr 2.40
Ag1 0.5000 0.5000 0.5000  4 Br 3.39, 8 Se 3.58
Cr1 0.0000 0.0000 0.0000  4 Se 2.40, 2 Br 2.66
Br1 0.0000 0.0000 0.5000  2 Cr 2.66


Here is a relaxed structure of CrAgSe2Br from the Alexandria database. Energies are from GGA-PBE.

Summary:
Symmetry = P4/mmm (123)
Polymorph energy (0 for the lowest one) = 0.6167 eV/atom

Cell lengths 4.9232, 5.7889, 4.9232 Å; angles 90.00, 90.00, 90.00 degrees
With the nearest neighbours (Å) after each atom.
Atoms (fractional coordinates):
Se1 0.5000 0.0000 0.0000  2 Ag 2.46
Se2 0.0000 0.0000 0.5000  2 Ag 2.46
Cr1 0.0000 0.5000 0.0000  2 Ag 2.89
Ag1 0.0000 0.0000 0.0000  4 Se 2.46
Br1 0.5000 0.5000 0.5000  4 Cr 3.48, 8 Se 3.80


Here is a relaxed structure of Tl3Cr2AgBr9 from the Alexandria database. Energies are from GGA-PBE.

Summary:
Symmetry = P-3m1 (164)

Cell lengths 7.4938, 7.4938, 9.2208 Å; angles 90.00, 90.00, 120.00 degrees
With the nearest neighbours (Å) after each atom.
Atoms (fractional coordinates):
Br1 0.6527 0.8264 0.3212  1 Cr 2.53, 1 Ag 2.79
Br2 0.8264 0.6527 0.6788  1 Cr 2.53, 1 Ag 2.79
Br3 0.5000 0.0000 0.0000  2 Cr 2.63
Br4 0.8264 0.1736 0.6788  1 Cr 2.53, 1 Ag 2.79
Br5 0.5000 0.5000 0.0000  2 Cr 2.63
Br6 0.1736 0.8264 0.3212  1 Cr 2.53, 1 Ag 2.79
Br7 0.1736 0.3473 0.3212  1 Cr 2.53, 1 Ag 2.79
Br8 0.3473 0.1736 0.6788  1 Cr 2.53, 1 Ag 2.79
Br9 0.0000 0.5000 0.0000  2 Cr 2.63
Cr1 0.3333 0.6667 0.1630  6 Br 2.53-2.63
Cr2 0.6667 0.3333 0.8370  6 Br 2.53-2.63
Tl1 0.6667 0.3333 0.3567  12 Br 3.62-3.94
Tl2 0.0000 0.0000 0.0000  12 Br 3.72-3.75
Tl3 0.3333 0.6667 0.6433  12 Br 3.62-3.94
Ag1 0.0000 0.0000 0.5000  6 Br 2.79


Here is a relaxed structure of CsAg4Br5 from the Alexandria database. Energies are from GGA-PBE.

Summary:
Symmetry = Pmmn (59)

Cell lengths 7.0022, 8.1254, 12.2533 Å; angles 90.00, 90.00, 90.00 degrees
With the nearest neighbours (Å) after each atom.
Atoms (fractional coordinates):
Br1 0.7335 0.5026 0.4331  3 Ag 2.61-2.90
Br2 0.2665 0.0026 0.9331  3 Ag 2.61-2.90
Br3 0.2665 0.4974 0.5669  3 Ag 2.61-2.90
Br4 0.2665 0.4974 0.9331  3 Ag 2.61-2.90
Br5 0.7335 0.9974 0.4331  3 Ag 2.61-2.90
Br6 0.2352 0.2500 0.2500  4 Ag 2.74-2.83
Br7 0.2665 0.0026 0.5669  3 Ag 2.61-2.90
Br8 0.7648 0.7500 0.7500  4 Ag 2.74-2.83
Br9 0.7335 0.9974 0.0669  3 Ag 2.61-2.90
Br10 0.7335 0.5026 0.0669  3 Ag 2.61-2.90
Ag1 0.5344 0.7500 0.9396  5 Br 2.78-2.90
Ag2 0.5344 0.7500 0.5604  5 Br 2.78-2.90
Ag3 0.9033 0.4286 0.2500  3 Br 2.61-2.74, 1 Ag 2.90
Ag4 0.0967 0.5714 0.7500  3 Br 2.61-2.74, 1 Ag 2.90
Ag5 0.4656 0.2500 0.4396  5 Br 2.78-2.90
Ag6 0.9033 0.0714 0.2500  3 Br 2.61-2.74, 1 Ag 2.90
Ag7 0.4656 0.2500 0.0604  5 Br 2.78-2.90
Ag8 0.0967 0.9286 0.7500  3 Br 2.61-2.74, 1 Ag 2.90
Cs1 0.5888 0.2500 0.7500  4 Br 3.76, 2 Ag 3.90
Cs2 0.4112 0.7500 0.2500  4 Br 3.76, 2 Ag 3.90


Here is a relaxed structure of Cs12Ag3Br5 from the Alexandria database. Energies are from GGA-PBE.

Summary:
Symmetry = Ia-3d (230)

Cell lengths 19.1477, 19.1477, 19.1477 Å; angles 109.47, 109.47, 109.47 degrees
With the nearest neighbours (Å) after each atom.
Atoms (fractional coordinates):
Ag1 0.8750 0.7500 0.1250  8 Cs 4.14-4.18
Ag2 0.8750 0.1250 0.2500  8 Cs 4.14-4.18
Ag3 0.6250 0.2500 0.3750  8 Cs 4.14-4.18
Ag4 0.7500 0.8750 0.6250  8 Cs 4.14-4.18
Ag5 0.6250 0.3750 0.7500  8 Cs 4.14-4.18
Ag6 0.1250 0.8750 0.7500  8 Cs 4.14-4.18
Ag7 0.2500 0.1250 0.3750  8 Cs 4.14-4.18
Ag8 0.3750 0.7500 0.6250  8 Cs 4.14-4.18
Ag9 0.2500 0.6250 0.8750  8 Cs 4.14-4.18
Ag10 0.1250 0.2500 0.8750  8 Cs 4.14-4.18
Ag11 0.3750 0.6250 0.2500  8 Cs 4.14-4.18
Ag12 0.7500 0.3750 0.1250  8 Cs 4.14-4.18
Cs1 0.2839 0.4149 0.8271  2 Br 3.47-3.68
Cs2 0.2161 0.6729 0.0851  2 Br 3.47-3.68
Cs3 0.1310 0.4149 0.0878  2 Br 3.47-3.68
Cs4 0.7839 0.3271 0.9149  2 Br 3.47-3.68
Cs5 0.9568 0.3690 0.2839  2 Br 3.47-3.68
Cs6 0.5851 0.7161 0.6729  2 Br 3.47-3.68
Cs7 0.8690 0.5851 0.9122  2 Br 3.47-3.68
Cs8 0.5851 0.8690 0.4122  2 Br 3.47-3.68
Cs9 0.1729 0.0851 0.7161  2 Br 3.47-3.68
Cs10 0.9149 0.8271 0.7839  2 Br 3.47-3.68
Cs11 0.0851 0.9122 0.3690  2 Br 3.47-3.68
Cs12 0.3690 0.9568 0.7839  2 Br 3.47-3.68
Cs13 0.8690 0.2839 0.4568  2 Br 3.47-3.68
Cs14 0.9122 0.8271 0.5432  2 Br 3.47-3.68
Cs15 0.4149 0.1310 0.5878  2 Br 3.47-3.68
Cs16 0.0432 0.4122 0.8271  2 Br 3.47-3.68
Cs17 0.9568 0.5878 0.1729  2 Br 3.47-3.68
Cs18 0.9149 0.0878 0.6310  2 Br 3.47-3.68
Cs19 0.3271 0.5432 0.4122  2 Br 3.47-3.68
Cs20 0.0432 0.6310 0.7161  2 Br 3.47-3.68
Cs21 0.4122 0.0432 0.3271  2 Br 3.47-3.68
Cs22 0.8271 0.9149 0.2839  2 Br 3.47-3.68
Cs23 0.2839 0.8690 0.9568  2 Br 3.47-3.68
Cs24 0.3690 0.4122 0.0851  2 Br 3.47-3.68
Cs25 0.0851 0.1729 0.2161  2 Br 3.47-3.68
Cs26 0.0878 0.1729 0.4568  2 Br 3.47-3.68
Cs27 0.5432 0.2161 0.1310  2 Br 3.47-3.68
Cs28 0.6729 0.4568 0.5878  2 Br 3.47-3.68
Cs29 0.4568 0.7839 0.8690  2 Br 3.47-3.68
Cs30 0.9122 0.0851 0.8690  2 Br 3.47-3.68
Cs31 0.6729 0.2161 0.5851  2 Br 3.47-3.68
Cs32 0.5878 0.6310 0.4149  2 Br 3.47-3.68
Cs33 0.2161 0.5432 0.6310  2 Br 3.47-3.68
Cs34 0.3271 0.7839 0.4149  2 Br 3.47-3.68
Cs35 0.4122 0.3690 0.5851  2 Br 3.47-3.68
Cs36 0.7161 0.1310 0.0432  2 Br 3.47-3.68
Cs37 0.1310 0.7161 0.5432  2 Br 3.47-3.68
Cs38 0.7161 0.5851 0.1729  2 Br 3.47-3.68
Cs39 0.6310 0.5878 0.9149  2 Br 3.47-3.68
Cs40 0.5432 0.3271 0.9122  2 Br 3.47-3.68
Cs41 0.7839 0.4568 0.3690  2 Br 3.47-3.68
Cs42 0.4568 0.6729 0.0878  2 Br 3.47-3.68
Cs43 0.5878 0.9568 0.6729  2 Br 3.47-3.68
Cs44 0.4149 0.2839 0.3271  2 Br 3.47-3.68
Cs45 0.6310 0.0432 0.2161  2 Br 3.47-3.68
Cs46 0.1729 0.0878 0.9568  2 Br 3.47-3.68
Cs47 0.8271 0.9122 0.0432  2 Br 3.47-3.68
Cs48 0.0878 0.9149 0.1310  2 Br 3.47-3.68
Br1 0.7500 0.6250 0.3750  4 Cs 3.47
Br2 0.5000 0.5000 0.0000  6 Cs 3.68
Br3 0.0000 0.5000 0.0000  6 Cs 3.68
Br4 0.0000 0.5000 0.5000  6 Cs 3.68
Br5 0.0000 0.0000 0.5000  6 Cs 3.68
Br6 0.1250 0.7500 0.3750  4 Cs 3.47
Br7 0.8750 0.6250 0.7500  4 Cs 3.47
Br8 0.3750 0.1250 0.7500  4 Cs 3.47
Br9 0.1250 0.3750 0.2500  4 Cs 3.47
Br10 0.7500 0.1250 0.8750  4 Cs 3.47
Br11 0.5000 0.0000 0.0000  6 Cs 3.68
Br12 0.2500 0.3750 0.6250  4 Cs 3.47
Br13 0.6250 0.7500 0.8750  4 Cs 3.47
Br14 0.5000 0.5000 0.5000  6 Cs 3.68
Br15 0.0000 0.0000 0.0000  6 Cs 3.68
Br16 0.3750 0.2500 0.1250  4 Cs 3.47
Br17 0.6250 0.8750 0.2500  4 Cs 3.47
Br18 0.2500 0.8750 0.1250  4 Cs 3.47
Br19 0.5000 0.0000 0.5000  6 Cs 3.68
Br20 0.8750 0.2500 0.6250  4 Cs 3.47


Here is a relaxed structure of Cs5AgBr6 from the Alexandria database. Energies are from GGA-PBE.

Summary:
Symmetry = C2/m (12)

Cell lengths 8.8431, 8.8144, 8.9288 Å; angles 81.41, 60.32, 72.44 degrees
With the nearest neighbours (Å) after each atom.
Atoms (fractional coordinates):
Br1 0.1882 0.1746 0.0000  1 Ag 2.59
Br2 0.4337 0.7342 0.6636  5 Cs 3.57-3.66, 1 Ag 3.81
Br3 0.0973 0.7342 0.3364  5 Cs 3.57-3.66, 1 Ag 3.81
Br4 0.9027 0.2658 0.6636  5 Cs 3.57-3.66, 1 Ag 3.81
Br5 0.5663 0.2658 0.3364  5 Cs 3.57-3.66, 1 Ag 3.81
Br6 0.8118 0.8254 0.0000  1 Ag 2.59
Cs1 0.5000 0.5000 0.0000  4 Br 3.58
Cs2 0.6779 0.0000 0.6442  6 Br 3.57-3.88
Cs3 0.1611 0.5000 0.6778  6 Br 3.57-3.79
Cs4 0.3221 0.0000 0.3558  6 Br 3.57-3.88
Cs5 0.8389 0.5000 0.3222  6 Br 3.57-3.79
Ag1 0.0000 0.0000 0.0000  2 Br 2.59


no.,total energy (eV for the cell shown),uncorrected formation energy (eV per atom)
1,-33.76,-0.743
2,-30.49,-0.779
3,-20.63,0.097
4,-17.55,0.714
5,-54.41,-0.677
6,-52.55,-0.565
7,-171.35,-0.784
8,-35.21,-1.504